{
  "formula": "AcPmNd",
  "functional": "GGA-PBE",
  "state": "optimized geometry",
  "polymorph_energy_ev_per_atom": 0.0000,
  "delta_e_f_ev_per_fu": 0.10,
  "sg": "No. 63",
  "lattice": [[5.363, 0.000, 0.000], [0.000, 5.358, 0.000], [0.000, 0.000, 15.865]],
  "species": ["Ac", "Ac", "Ac", "Ac", "Pm", "Pm", "Pm", "Pm", "Nd", "Nd", "Nd", "Nd"],
  "fractional_positions": [[0.250, 0.250, 0.750], [0.750, 0.250, 0.250], [0.250, 0.750, 0.250], [0.750, 0.750, 0.750], [0.750, 0.250, 0.579], [0.750, 0.750, 0.079], [0.250, 0.750, 0.921], [0.250, 0.250, 0.421], [0.250, 0.250, 0.079], [0.750, 0.250, 0.921], [0.250, 0.750, 0.579], [0.750, 0.750, 0.421]]
}



{
  "formula": "TaCuPtI2",
  "functional": "GGA-PBE",
  "state": "optimized geometry",
  "raw_formation_energy_ev_per_atom": 1.277,
  "sg": "No. 123",
  "lattice": [[-4.473, 2.953, 0.136], [-2.477, -3.678, -1.616], [-0.905, -1.602, 5.036]],
  "species": ["I", "I", "Cu", "Ta", "Pt"],
  "fractional_positions": [[0.000, 0.000, 0.500], [0.500, 0.000, 0.000], [0.000, 0.500, 0.000], [0.500, 0.500, 0.500], [0.000, 0.000, 0.000]]
}



{
  "formula": "UCuTe2",
  "functional": "GGA-PBE",
  "state": "optimized geometry",
  "raw_formation_energy_ev_per_atom": -0.182,
  "sg": "No. 166",
  "lattice": [[-2.280, -2.102, -2.980], [1.845, -3.120, -2.315], [-2.524, -7.526, 4.136]],
  "species": ["Te", "Te", "Cu", "U"],
  "fractional_positions": [[0.905, 0.905, 0.284], [0.095, 0.095, 0.716], [0.000, 0.000, 0.000], [0.500, 0.500, 0.500]]
}



Repeat the second record exactly.
{
  "formula": "TaCuPtI2",
  "functional": "GGA-PBE",
  "state": "optimized geometry",
  "raw_formation_energy_ev_per_atom": 1.277,
  "sg": "No. 123",
  "lattice": [[-4.473, 2.953, 0.136], [-2.477, -3.678, -1.616], [-0.905, -1.602, 5.036]],
  "species": ["I", "I", "Cu", "Ta", "Pt"],
  "fractional_positions": [[0.000, 0.000, 0.500], [0.500, 0.000, 0.000], [0.000, 0.500, 0.000], [0.500, 0.500, 0.500], [0.000, 0.000, 0.000]]
}